ZrCrIr4 meta-GGA SCAN single point on PBEsol structure; crystal system = cubic; electronic total energy = -336.2 eV for the cell shown; M_tot = 3.859 μB per formula unit; formation energy = -10.50 kcal/mol of atoms
1.0
0.0000 3.6342 3.6342
3.6342 0.0000 3.6342
3.6342 3.6342 0.0000
Zr Cr Ir
1 1 4
Cartesian
0.0000 0.0000 0.0000
1.8171 1.8171 1.8171
4.5391 2.7292 2.7292
2.7292 4.5391 2.7292
2.7292 2.7292 4.5391
4.5391 4.5391 4.5391